AlTc | GGA-PBE | relaxed

```
AlTc
1.0
4.224 0.000 0.000
0.000 2.935 0.125
0.000 1.267 4.711
Tc Al
2 2
Direct
0.000 0.521 0.582
0.500 0.229 0.168
0.000 0.788 0.050
0.500 0.962 0.700
```

- calculated formation energy (kJ per mole of atoms) = -23.34


Li3Sn2Au6 | GGA-PBE | relaxed

```
Li3Sn2Au6
1.0
-1.486 -2.873 -2.708
3.830 -0.346 -1.734
1.603 -7.272 10.122
Sn Au Li
2 6 3
Direct
0.361 0.361 0.722
0.639 0.639 0.278
0.061 0.561 0.122
0.439 0.939 0.878
0.750 0.750 0.500
0.250 0.250 0.500
0.939 0.439 0.878
0.561 0.061 0.122
0.139 0.139 0.277
0.000 0.000 0.000
0.861 0.861 0.723
```

- calculated formation energy (kJ per mole of atoms) = -18.47


Cs2RuAu | GGA-PBE | relaxed

```
Cs2RuAu
1.0
0.000 4.015 4.015
4.015 0.000 4.015
4.015 4.015 0.000
Au Cs Ru
1 2 1
Direct
0.500 0.500 0.500
0.750 0.750 0.750
0.250 0.250 0.250
0.000 0.000 0.000
```

- calculated formation energy (kJ per mole of atoms) = 108.10


Cs3K4Rb3Hg2 | GGA-PBE | relaxed

```
Cs3K4Rb3Hg2
1.0
-6.424 -1.916 1.813
2.335 -6.679 1.214
5.853 8.982 16.932
Cs K Rb Hg
3 4 3 2
Direct
0.501 0.500 0.000
0.696 0.694 0.387
0.309 0.306 0.613
0.405 0.903 0.806
0.819 0.816 0.631
0.187 0.184 0.369
0.600 0.097 0.194
0.001 0.000 0.000
0.099 0.597 0.194
0.905 0.403 0.806
0.908 0.906 0.812
0.097 0.094 0.188
```

- calculated formation energy (kJ per mole of atoms) = -4.84


ScInAgRu | GGA-PBE | relaxed

```
ScInAgRu
1.0
-2.781 0.578 3.711
-4.428 -1.490 -0.143
-1.304 -3.699 2.542
Sc Ag In Ru
1 1 1 1
Direct
0.500 0.500 0.500
0.250 0.250 0.250
0.000 0.000 0.000
0.750 0.750 0.750
```

- calculated formation energy (kJ per mole of atoms) = -22.81


LaNdTm2Se4 | GGA-PBE | relaxed

```
LaNdTm2Se4
1.0
-3.495 -1.666 1.202
1.231 -5.803 -4.463
3.573 -4.875 3.632
Tm Se Nd La
2 4 1 1
Direct
0.500 0.000 0.500
0.000 0.000 0.000
0.500 0.772 0.244
0.000 0.226 0.260
0.000 0.774 0.740
0.500 0.228 0.756
0.000 0.500 0.500
0.500 0.500 0.000
```

- E (eV per atom) = -5.874


Ni3AgSe | GGA-PBE | relaxed

```
Ni3AgSe
1.0
4.631 0.000 0.000
0.000 4.631 0.000
0.000 0.000 4.631
Se Ni Ag
1 3 1
Direct
0.500 0.500 0.500
0.000 0.000 0.500
0.000 0.500 0.000
0.500 0.000 0.000
0.000 0.000 0.000
```

- E (eV per atom) = -3.384


Pm12Nd7Sc | GGA-PBE | relaxed

```
Pm12Nd7Sc
1.0
6.632 -0.411 2.090
-4.672 9.820 5.535
-0.561 1.121 11.536
Nd Pm Sc
7 12 1
Direct
0.979 0.871 0.339
0.405 0.260 0.034
0.819 0.165 0.136
0.021 0.129 0.661
0.595 0.740 0.966
0.181 0.835 0.864
0.500 0.000 0.000
0.397 0.771 0.423
0.603 0.229 0.577
0.476 0.543 0.345
0.140 0.345 0.262
0.524 0.457 0.655
0.734 0.437 0.153
0.702 0.954 0.553
0.298 0.046 0.447
0.035 0.621 0.284
0.860 0.655 0.738
0.266 0.563 0.847
0.965 0.379 0.716
0.000 0.000 0.000
```

- calculated formation energy (kJ per mole of atoms) = 6.62